*A*
NaTb2: optimized geometry, GGA-PBE.

The structure in POSCAR format:
```
NaTb2
1.0
0.0000 3.7623 3.7623
3.7623 0.0000 3.7623
3.7623 3.7623 0.0000
Na Tb
1 2
direct
0.0000 0.0000 0.0000
0.2500 0.2500 0.2500
0.7500 0.7500 0.7500
```

Output
As for the size of the total moment: 1.58 μB per cell. As for the crystal system: cubic. Its symmetry is Fm-3m (225).

*B*
NaTb2: optimized geometry, GGA-PBE.

The structure in POSCAR format:
```
NaTb2
1.0
4.7463 2.7403 7.7507
-4.7463 2.7403 7.7507
0.0000 -5.4806 7.7507
Na Tb
2 4
direct
0.2500 0.2500 0.2500
0.5000 0.5000 0.5000
0.3750 0.3750 0.3750
0.8750 0.3750 0.3750
0.3750 0.8750 0.3750
0.3750 0.3750 0.8750
```

Output
As for the size of the total moment: 5.99 μB per cell. As for the crystal system: cubic. Its symmetry is Fd-3m (227).

Most stable: *A* (next structure +1571 meV per atom)

*A*
NaTbZnTe3: optimized geometry, GGA-PBE.

The structure in POSCAR format:
```
NaTbZnTe3
1.0
4.3819 0.0000 0.0000
0.0000 12.3991 0.0000
0.0000 0.0001 13.1466
Na Tb Te Zn
4 4 12 4
direct
0.2500 0.8149 0.0114
0.2500 0.3149 0.4886
0.7500 0.6851 0.5114
0.7500 0.1851 0.9886
0.2500 0.4706 0.1876
0.2500 0.9706 0.3124
0.7500 0.0294 0.6876
0.7500 0.5294 0.8124
0.7500 0.5973 0.0682
0.7500 0.9524 0.1437
0.2500 0.2169 0.1758
0.2500 0.7169 0.3242
0.7500 0.4524 0.3563
0.7500 0.0973 0.4318
0.2500 0.9027 0.5682
0.2500 0.5476 0.6437
0.7500 0.2831 0.6758
0.7500 0.7831 0.8242
0.2500 0.0476 0.8563
0.2500 0.4027 0.9318
0.7500 0.7515 0.2082
0.7500 0.2515 0.2918
0.2500 0.7485 0.7082
0.2500 0.2485 0.7918
```

Output
As for the size of the total moment: 0.00 μB per cell. As for the crystal system: orthorhombic. Its symmetry is Pnma (62).

*B*
NaTbZnTe3: optimized geometry, GGA-PBE.

The structure in POSCAR format:
```
NaTbZnTe3
1.0
-4.1650 3.6533 -8.8632
-7.5954 1.7949 -6.9525
-0.7036 6.8066 5.3570
Na Tb Te Zn
2 2 6 2
direct
0.8814 0.8814 0.4322
0.1186 0.1186 0.5678
0.1725 0.1725 0.0780
0.8275 0.8275 0.9220
0.0000 0.0000 0.0000
0.3253 0.3253 0.1652
0.6713 0.6713 0.3286
0.5000 0.5000 0.5000
0.3287 0.3287 0.6714
0.6747 0.6747 0.8348
0.5405 0.5405 0.2259
0.4595 0.4595 0.7741
```

Output
As for the size of the total moment: 0.00 μB per cell. As for the crystal system: monoclinic. Its symmetry is C2/m (12).

*C*
NaTbZnTe3: optimized geometry, GGA-PBE.

The structure in POSCAR format:
```
NaTbZnTe3
1.0
-2.2489 -4.3418 7.2802
-2.4856 -2.7690 -2.4192
14.1972 -10.8978 -2.1136
Na Tb Te Zn
4 4 12 4
direct
0.0514 0.7500 0.2122
0.5514 0.7500 0.2878
0.4486 0.2500 0.7122
0.9486 0.2500 0.7878
0.7657 0.2500 0.0462
0.2657 0.2500 0.4538
0.7343 0.7500 0.5462
0.2343 0.7500 0.9538
0.1269 0.2500 0.0615
0.4996 0.7500 0.0814
0.7788 0.2500 0.2159
0.2788 0.2500 0.2841
0.9996 0.7500 0.4186
0.6269 0.2500 0.4385
0.3731 0.7500 0.5615
0.0004 0.2500 0.5814
0.7212 0.7500 0.7159
0.2212 0.7500 0.7841
0.5004 0.2500 0.9186
0.8731 0.7500 0.9385
0.3887 0.2500 0.1502
0.8887 0.2500 0.3498
0.1113 0.7500 0.6502
0.6113 0.7500 0.8498
```

Output
As for the size of the total moment: 0.00 μB per cell. As for the crystal system: orthorhombic. Its symmetry is Pnma (62).

Most stable: *A* (next structure +52 meV per atom)

*A*
NaTbZnTe3: optimized geometry, GGA-PBE.

The structure in POSCAR format:
```
NaTbZnTe3
1.0
-3.1330 5.6801 4.1260
-4.8128 5.9925 0.1748
-8.6833 -7.0653 3.1331
Na Tb Te Zn
2 2 6 2
direct
0.7631 0.7631 0.2500
0.2369 0.2369 0.7500
0.0000 0.0000 0.0000
0.0000 0.0000 0.5000
0.3599 0.3599 0.0676
0.0831 0.0831 0.2500
0.3599 0.3599 0.4324
0.6401 0.6401 0.5676
0.9169 0.9169 0.7500
0.6401 0.6401 0.9324
0.4687 0.4687 0.2500
0.5313 0.5313 0.7500
```

Output
As for the size of the total moment: 0.00 μB per cell. As for the crystal system: orthorhombic. Its symmetry is Cmcm (63).

*B*
NaTbZnTe3: optimized geometry, GGA-PBE.

The structure in POSCAR format:
```
NaTbZnTe3
1.0
8.8139 0.0000 0.0000
0.0000 4.3246 0.0000
-2.7672 0.0000 10.0946
Na Tb Te Zn
2 2 6 2
direct
0.2204 0.2500 0.2538
0.7796 0.7500 0.7462
0.6802 0.2500 0.1446
0.3198 0.7500 0.8554
0.9320 0.7500 0.1476
0.4374 0.7500 0.1599
0.7665 0.2500 0.4635
0.2335 0.7500 0.5365
0.5626 0.2500 0.8401
0.0680 0.2500 0.8524
0.9189 0.7500 0.3970
0.0811 0.2500 0.6030
```

Output
As for the size of the total moment: 0.00 μB per cell. As for the crystal system: monoclinic. Its symmetry is P2_1/m (11).

Most stable: *A* (next structure +11 meV per atom)

*A*
NaTc: optimized geometry, GGA-PBE.

The structure in POSCAR format:
```
NaTc
1.0
2.7020 0.0000 0.0000
-1.3510 2.3400 0.0000
0.0000 0.0000 5.3919
Na Tc
1 1
direct
0.6667 0.3333 0.7500
0.3333 0.6667 0.2500
```

Output
As for the size of the total moment: 0.00 μB per cell. As for the crystal system: hexagonal. Its symmetry is P-6m2 (187).

*B*
NaTc: optimized geometry, GGA-PBE.

The structure in POSCAR format:
```
NaTc
1.0
0.2193 2.1210 3.3861
-2.9084 -0.2882 2.7333
0.6994 -1.8506 3.4783
Na Tc
1 1
direct
0.0000 0.0000 0.0000
0.5000 0.5000 0.5000
```

Output
As for the size of the total moment: 3.16 μB per cell. As for the crystal system: cubic. Its symmetry is Fm-3m (225).

Most stable: *A* (next structure +1464 meV per atom)

*A*
NaTmTe: optimized geometry, GGA-PBE.

The structure in POSCAR format:
```
NaTmTe
1.0
4.3813 -0.8433 -2.5441
2.1006 -4.6868 -0.0133
-0.0261 -2.8137 -4.2967
Na Te Tm
1 1 1
direct
0.2500 0.2500 0.2500
0.7500 0.7500 0.7500
0.0000 0.0000 0.0000
```

Output
As for the size of the total moment: 0.00 μB per cell. As for the crystal system: cubic. Its symmetry is F-43m (216).

*B*
NaTmTe: optimized geometry, GGA-PBE.

The structure in POSCAR format:
```
NaTmTe
1.0
0.0000 3.5512 3.5512
3.5512 0.0000 3.5512
3.5512 3.5512 0.0000
Na Te Tm
1 1 1
direct
0.2500 0.2500 0.2500
0.0000 0.0000 0.0000
0.7500 0.7500 0.7500
```

Output
As for the size of the total moment: 0.00 μB per cell. As for the crystal system: cubic. Its symmetry is F-43m (216).

Most stable: *B* (next structure +161 meV per atom)

*A*
NaYZnTe3: optimized geometry, GGA-PBE.

The structure in POSCAR format:
```
NaYZnTe3
1.0
-4.8783 -4.1362 9.6789
-2.8954 -2.1236 -2.3668
8.9610 -11.6857 -0.4773
Na Te Y Zn
4 12 4 4
direct
0.2712 0.7500 0.0136
0.7712 0.7500 0.4864
0.2288 0.2500 0.5137
0.7288 0.2500 0.9864
0.0812 0.2500 0.1070
0.4468 0.2500 0.1141
0.7608 0.7500 0.1662
0.2608 0.7500 0.3338
0.9468 0.2500 0.3859
0.5812 0.2500 0.3930
0.4188 0.7500 0.6070
0.0532 0.7500 0.6141
0.7392 0.2500 0.6662
0.2392 0.2500 0.8338
0.5532 0.7500 0.8859
0.9188 0.7500 0.8930
0.0129 0.7500 0.2456
0.5129 0.7500 0.2544
0.4871 0.2500 0.7456
0.9871 0.2500 0.7544
0.2603 0.2500 0.2196
0.7603 0.2500 0.2804
0.2397 0.7500 0.7196
0.7397 0.7500 0.7804
```

Output
As for the size of the total moment: 0.01 μB per cell. As for the crystal system: orthorhombic. Its symmetry is Pnma (62).

*B*
NaYZnTe3: optimized geometry, GGA-PBE.

The structure in POSCAR format:
```
NaYZnTe3
1.0
8.7543 0.0000 0.0000
0.0000 4.4320 0.0000
0.0000 0.0000 17.9983
Na Te Y Zn
4 12 4 4
direct
0.4533 0.2500 0.2115
0.9533 0.2500 0.2885
0.0467 0.7500 0.7115
0.5467 0.7500 0.7885
0.3734 0.7500 0.0624
0.0013 0.2500 0.0815
0.7266 0.7500 0.2155
0.2266 0.7500 0.2845
0.5013 0.2500 0.4185
0.8734 0.7500 0.4376
0.1266 0.2500 0.5624
0.4987 0.7500 0.5815
0.7734 0.2500 0.7155
0.2734 0.2500 0.7845
0.9987 0.7500 0.9185
0.6266 0.2500 0.9376
0.7343 0.7500 0.0452
0.2343 0.7500 0.4548
0.7657 0.2500 0.5452
0.2657 0.2500 0.9548
0.1095 0.7500 0.1518
0.6095 0.7500 0.3482
0.3905 0.2500 0.6518
0.8905 0.2500 0.8482
```

Output
As for the size of the total moment: 0.01 μB per cell. As for the crystal system: orthorhombic. Its symmetry is Pnma (62).

*C*
NaYZnTe3: optimized geometry, GGA-PBE.

The structure in POSCAR format:
```
NaYZnTe3
1.0
8.7925 0.0000 0.0000
0.0000 4.3106 0.0000
-2.7677 0.0000 10.0824
Na Te Y Zn
2 6 2 2
direct
0.2212 0.2500 0.2564
0.7788 0.7500 0.7436
0.9311 0.7500 0.1477
0.4369 0.7500 0.1597
0.7650 0.2500 0.4632
0.2350 0.7500 0.5368
0.5631 0.2500 0.8403
0.0689 0.2500 0.8523
0.6794 0.2500 0.1451
0.3206 0.7500 0.8549
0.9191 0.7500 0.3972
0.0809 0.2500 0.6028
```

Output
As for the size of the total moment: 0.00 μB per cell. As for the crystal system: monoclinic. Its symmetry is P2_1/m (11).

*D*
NaYZnTe3: optimized geometry, GGA-PBE.

The structure in POSCAR format:
```
NaYZnTe3
1.0
-0.0339 -3.4871 2.6756
7.2941 -6.1353 -7.9037
10.5398 4.6132 6.1458
Na Te Y Zn
4 12 4 4
direct
0.2500 0.8224 0.0091
0.2500 0.3224 0.4909
0.7500 0.6776 0.5091
0.7500 0.1776 0.9909
0.7500 0.5978 0.0669
0.7500 0.9541 0.1439
0.2500 0.2191 0.1762
0.2500 0.7191 0.3238
0.7500 0.4542 0.3561
0.7500 0.0978 0.4331
0.2500 0.9022 0.5669
0.2500 0.5459 0.6439
0.7500 0.2809 0.6762
0.7500 0.7809 0.8238
0.2500 0.0458 0.8561
0.2500 0.4022 0.9331
0.2500 0.4736 0.1871
0.2500 0.9736 0.3129
0.7500 0.0264 0.6871
0.7500 0.5264 0.8129
0.7500 0.7523 0.2074
0.7500 0.2523 0.2926
0.2500 0.7477 0.7074
0.2500 0.2477 0.7926
```

Output
As for the size of the total moment: 0.01 μB per cell. As for the crystal system: orthorhombic. Its symmetry is Pnma (62).

Most stable: *A* (next structure +9 meV per atom)

*A*
NaYZnTe3: optimized geometry, GGA-PBE.

The structure in POSCAR format:
```
NaYZnTe3
1.0
0.4275 4.4926 -6.2320
-0.7923 0.6215 -7.6283
-11.1366 3.0037 1.4014
Na Te Y Zn
2 6 2 2
direct
0.7627 0.7627 0.2500
0.2373 0.2373 0.7500
0.3605 0.3605 0.0670
0.0830 0.0830 0.2500
0.3605 0.3605 0.4330
0.6395 0.6395 0.5670
0.9170 0.9170 0.7500
0.6395 0.6395 0.9330
0.0000 0.0000 0.0000
0.0000 0.0000 0.5000
0.4687 0.4687 0.2500
0.5313 0.5313 0.7500
```

Output
As for the size of the total moment: 0.00 μB per cell. As for the crystal system: orthorhombic. Its symmetry is Cmcm (63).

*B*
NaYZnTe3: optimized geometry, GGA-PBE.

The structure in POSCAR format:
```
NaYZnTe3
1.0
-8.8058 -1.6501 -5.3341
-6.0795 -4.4293 -7.2207
-0.8560 -5.4145 6.7390
Na Te Y Zn
2 6 2 2
direct
0.8817 0.8817 0.4329
0.1183 0.1183 0.5671
0.0000 0.0000 0.0000
0.3251 0.3251 0.1659
0.6710 0.6710 0.3264
0.5000 0.5000 0.5000
0.3290 0.3290 0.6736
0.6749 0.6749 0.8341
0.1725 0.1725 0.0767
0.8275 0.8275 0.9233
0.5400 0.5400 0.2254
0.4600 0.4600 0.7746
```

Output
As for the size of the total moment: 0.00 μB per cell. As for the crystal system: monoclinic. Its symmetry is C2/m (12).

Most stable: *A* (next structure +110 meV per atom)

*A*
NaThTl: optimized geometry, GGA-PBE.

The structure in POSCAR format:
```
NaThTl
1.0
-0.2842 -4.7384 2.0907
-3.5451 -3.3797 -1.7073
1.4783 -4.1414 -2.7509
Na Th Tl
1 1 1
direct
0.2500 0.2500 0.2500
0.7500 0.7500 0.7500
0.0000 0.0000 0.0000
```

Output
As for the size of the total moment: 0.00 μB per cell. As for the crystal system: cubic. Its symmetry is F-43m (216).

*B*
NaThTl: optimized geometry, GGA-PBE.

The structure in POSCAR format:
```
NaThTl
1.0
1.3367 -4.3320 2.6269
-3.5594 -2.4907 2.9293
-1.8470 -4.6612 -1.5216
Na Th Tl
1 1 1
direct
0.2500 0.2500 0.2500
0.0000 0.0000 0.0000
0.7500 0.7500 0.7500
```

Output
As for the size of the total moment: 0.00 μB per cell. As for the crystal system: cubic. Its symmetry is F-43m (216).

Most stable: *A* (next structure +358 meV per atom)